PmPr2Sm2Er2 | GGA-PBE | relaxed Values from VASP.

Geometry as Quantum ESPRESSO input:
```
&SYSTEM
  ibrav = 0, nat = 7, ntyp = 4
/
ATOMIC_SPECIES
Pm 145.00 Pm.upf
Pr 140.91 Pr.upf
Sm 150.36 Sm.upf
Er 167.26 Er.upf
CELL_PARAMETERS angstrom
5.7106 -2.5582 0.0000
5.7106 2.5582 0.0000
-1.1450 0.0000 8.0431
ATOMIC_POSITIONS crystal
Pm 0.0000 0.0000 0.0000
Pr 0.1422 0.1422 0.4276
Pr 0.8578 0.8578 0.5724
Sm 0.2853 0.2853 0.8591
Sm 0.7147 0.7147 0.1409
Er 0.4285 0.4285 0.2852
Er 0.5715 0.5715 0.7148
```

D(E_F) = 9.92 states/eV/f.u.
calculated total energy = -4.68 eV/atom